Compound: OsS
Source: the Alexandria database
Functional: PBE
Structure: optimized geometry

## Properties
- mass density (g cm⁻³) = 12.3
- crystal system = cubic
- raw total energy (eV/atom) = -6.697
- space group = Fm-3m (225)
- raw formation energy (eV/atom) = 0.98
- E above lowest polymorph (meV per atom) = 743

a = 3.4911 Å, b = 3.4911 Å, c = 3.4911 Å
α = 60.00°, β = 60.00°, γ = 60.00°
With the nearest neighbours (Å) after each atom.
Fractional coordinates of all 2 atoms:
Os 0.0000 0.0000 0.0000  6 S 2.47
S 0.5000 0.5000 0.5000  6 Os 2.47


Compound: OsS
Source: the Alexandria database
Functional: PBE
Structure: optimized geometry

## Properties
- mass density (g cm⁻³) = 8.7
- crystal system = hexagonal
- raw total energy (eV/atom) = -7.415
- space group = P6_3/m (176)
- raw formation energy (eV/atom) = 0.26
- E above lowest polymorph (meV per atom) = 25

a = 8.7017 Å, b = 8.7017 Å, c = 3.8739 Å
α = 90.00°, β = 90.00°, γ = 120.00°
With the nearest neighbours (Å) after each atom.
Fractional coordinates of all 12 atoms:
Os 0.0405 0.6136 0.2500  4 S 2.27-2.33
Os 0.3864 0.4269 0.2500  4 S 2.27-2.33
Os 0.4269 0.0405 0.7500  4 S 2.27-2.33
Os 0.5731 0.9595 0.2500  4 S 2.27-2.33
Os 0.6136 0.5731 0.7500  4 S 2.27-2.33
Os 0.9595 0.3864 0.7500  4 S 2.27-2.33
S 0.1074 0.3863 0.2500  4 Os 2.27-2.33
S 0.2788 0.8926 0.2500  4 Os 2.27-2.33
S 0.3863 0.2788 0.7500  4 Os 2.27-2.33
S 0.6137 0.7212 0.2500  4 Os 2.27-2.33
S 0.7212 0.1074 0.7500  4 Os 2.27-2.33
S 0.8926 0.6137 0.7500  4 Os 2.27-2.33


Compound: OsS
Source: the Alexandria database
Functional: PBE
Structure: optimized geometry

## Properties
- mass density (g cm⁻³) = 11.1
- crystal system = orthorhombic
- raw total energy (eV/atom) = -7.419
- space group = Pmn2_1 (31)
- raw formation energy (eV/atom) = 0.26
- E above lowest polymorph (meV per atom) = 21

a = 10.1179 Å, b = 3.7094 Å, c = 5.3348 Å
α = 90.00°, β = 90.00°, γ = 90.00°
With the nearest neighbours (Å) after each atom.
Fractional coordinates of all 12 atoms:
Os 0.0000 0.0739 0.0000  4 S 2.28-2.34
Os 0.2149 0.5791 0.9066  4 S 2.28-2.39
Os 0.2851 0.4209 0.4066  4 S 2.28-2.39
Os 0.5000 0.9261 0.5000  4 S 2.28-2.34
Os 0.7149 0.4209 0.4066  4 S 2.28-2.39
Os 0.7851 0.5791 0.9066  4 S 2.28-2.39
S 0.0000 0.5650 0.7420  4 Os 2.28-2.35
S 0.1692 0.9282 0.2736  4 Os 2.28-2.39
S 0.3308 0.0718 0.7736  4 Os 2.28-2.39
S 0.5000 0.4350 0.2420  4 Os 2.28-2.35
S 0.6692 0.0718 0.7736  4 Os 2.28-2.39
S 0.8308 0.9282 0.2736  4 Os 2.28-2.39


Compound: OsS
Source: the Alexandria database
Functional: PBE
Structure: optimized geometry

## Properties
- mass density (g cm⁻³) = 8.8
- crystal system = tetragonal
- raw total energy (eV/atom) = -7.381
- space group = I4/m (87)
- raw formation energy (eV/atom) = 0.30
- E above lowest polymorph (meV per atom) = 59

a = 6.9908 Å, b = 6.9908 Å, c = 6.9908 Å
α = 93.95°, β = 93.95°, γ = 149.56°
With the nearest neighbours (Å) after each atom.
Fractional coordinates of all 8 atoms:
Os 0.1545 0.7163 0.8708  4 S 2.25-2.35
Os 0.2837 0.1545 0.4382  4 S 2.25-2.35
Os 0.7163 0.8455 0.5618  4 S 2.25-2.35
Os 0.8455 0.2837 0.1292  4 S 2.25-2.35
S 0.0809 0.2951 0.3760  4 Os 2.25-2.35
S 0.2951 0.9191 0.2143  4 Os 2.25-2.35
S 0.7049 0.0809 0.7857  4 Os 2.25-2.35
S 0.9191 0.7049 0.6240  4 Os 2.25-2.35


Copy entry 2 word for word.
Compound: OsS
Source: the Alexandria database
Functional: PBE
Structure: optimized geometry

## Properties
- mass density (g cm⁻³) = 8.7
- crystal system = hexagonal
- raw total energy (eV/atom) = -7.415
- space group = P6_3/m (176)
- raw formation energy (eV/atom) = 0.26
- E above lowest polymorph (meV per atom) = 25

a = 8.7017 Å, b = 8.7017 Å, c = 3.8739 Å
α = 90.00°, β = 90.00°, γ = 120.00°
With the nearest neighbours (Å) after each atom.
Fractional coordinates of all 12 atoms:
Os 0.0405 0.6136 0.2500  4 S 2.27-2.33
Os 0.3864 0.4269 0.2500  4 S 2.27-2.33
Os 0.4269 0.0405 0.7500  4 S 2.27-2.33
Os 0.5731 0.9595 0.2500  4 S 2.27-2.33
Os 0.6136 0.5731 0.7500  4 S 2.27-2.33
Os 0.9595 0.3864 0.7500  4 S 2.27-2.33
S 0.1074 0.3863 0.2500  4 Os 2.27-2.33
S 0.2788 0.8926 0.2500  4 Os 2.27-2.33
S 0.3863 0.2788 0.7500  4 Os 2.27-2.33
S 0.6137 0.7212 0.2500  4 Os 2.27-2.33
S 0.7212 0.1074 0.7500  4 Os 2.27-2.33
S 0.8926 0.6137 0.7500  4 Os 2.27-2.33


> Among the records above, which one has the lowest E above lowest polymorph?

number 3


Please write out number 4 again, unchanged.
Compound: OsS
Source: the Alexandria database
Functional: PBE
Structure: optimized geometry

## Properties
- mass density (g cm⁻³) = 8.8
- crystal system = tetragonal
- raw total energy (eV/atom) = -7.381
- space group = I4/m (87)
- raw formation energy (eV/atom) = 0.30
- E above lowest polymorph (meV per atom) = 59

a = 6.9908 Å, b = 6.9908 Å, c = 6.9908 Å
α = 93.95°, β = 93.95°, γ = 149.56°
With the nearest neighbours (Å) after each atom.
Fractional coordinates of all 8 atoms:
Os 0.1545 0.7163 0.8708  4 S 2.25-2.35
Os 0.2837 0.1545 0.4382  4 S 2.25-2.35
Os 0.7163 0.8455 0.5618  4 S 2.25-2.35
Os 0.8455 0.2837 0.1292  4 S 2.25-2.35
S 0.0809 0.2951 0.3760  4 Os 2.25-2.35
S 0.2951 0.9191 0.2143  4 Os 2.25-2.35
S 0.7049 0.0809 0.7857  4 Os 2.25-2.35
S 0.9191 0.7049 0.6240  4 Os 2.25-2.35


Repeat the fourth record exactly.
Compound: OsS
Source: the Alexandria database
Functional: PBE
Structure: optimized geometry

## Properties
- mass density (g cm⁻³) = 8.8
- crystal system = tetragonal
- raw total energy (eV/atom) = -7.381
- space group = I4/m (87)
- raw formation energy (eV/atom) = 0.30
- E above lowest polymorph (meV per atom) = 59

a = 6.9908 Å, b = 6.9908 Å, c = 6.9908 Å
α = 93.95°, β = 93.95°, γ = 149.56°
With the nearest neighbours (Å) after each atom.
Fractional coordinates of all 8 atoms:
Os 0.1545 0.7163 0.8708  4 S 2.25-2.35
Os 0.2837 0.1545 0.4382  4 S 2.25-2.35
Os 0.7163 0.8455 0.5618  4 S 2.25-2.35
Os 0.8455 0.2837 0.1292  4 S 2.25-2.35
S 0.0809 0.2951 0.3760  4 Os 2.25-2.35
S 0.2951 0.9191 0.2143  4 Os 2.25-2.35
S 0.7049 0.0809 0.7857  4 Os 2.25-2.35
S 0.9191 0.7049 0.6240  4 Os 2.25-2.35